Material: La8Ge3I3O
Method: DFT, GGA-PBE
State: relaxed

Computed properties:
density of states at the Fermi level = 0.787 states/eV per atom
crystal system = trigonal
E_form (uncorrected) = -1.1297 eV/atom

```
data_La8Ge3I3O
_space_group_name_H-M_alt 'R -3 m'
_space_group_IT_number 166
_space_group_name_Hall '-R 3 2"'
_cell_length_a 8.5964
_cell_length_b 8.5964
_cell_length_c 23.6327
_cell_angle_alpha 90.00
_cell_angle_beta 90.00
_cell_angle_gamma 120.00
loop_
_atom_site_label
_atom_site_fract_x
_atom_site_fract_y
_atom_site_fract_z
La1 0.0000 0.0000 0.2348
La2 0.0357 0.5179 0.2292
Ge1 0.0000 0.5000 0.5000
I1 0.0000 0.5000 0.0000
O1 0.0000 0.0000 0.5000
```